# 1
# BaIn4 SCAN PBEsol geometry
data_BaIn4
_cell_length_a 7.401
_cell_length_b 7.401
_cell_length_c 7.401
_cell_angle_alpha 90.00
_cell_angle_beta 90.00
_cell_angle_gamma 90.00
_space_group_name_H-M_alt 'I m -3 m'
_space_group_IT_number 229
_space_group_name_Hall '-I 4 2 3'
loop_
_atom_site_label
_atom_site_fract_x
_atom_site_fract_y
_atom_site_fract_z
Ba1 0.000 0.000 0.000
In1 0.250 0.250 0.250
# formation enthalpy at 0 K = 0.52 eV per atom

=====

# 2
# CsRhPb3 SCAN PBEsol geometry
data_CsRhPb3
_cell_length_a 5.955
_cell_length_b 5.955
_cell_length_c 5.955
_cell_angle_alpha 90.00
_cell_angle_beta 90.00
_cell_angle_gamma 90.00
_space_group_name_H-M_alt 'P m -3 m'
_space_group_IT_number 221
_space_group_name_Hall '-P 4 2 3'
loop_
_atom_site_label
_atom_site_fract_x
_atom_site_fract_y
_atom_site_fract_z
Cs1 0.000 0.000 0.000
Rh1 0.500 0.500 0.500
Pb1 0.000 0.000 0.500
# formation enthalpy at 0 K = 2.06 eV per atom

=====

# 3
# AlCu2HgOs SCAN PBEsol geometry
data_AlCu2HgOs
_cell_length_a 4.605
_cell_length_b 4.605
_cell_length_c 5.130
_cell_angle_alpha 90.00
_cell_angle_beta 90.00
_cell_angle_gamma 90.00
_space_group_name_H-M_alt 'P 4/m m m'
_space_group_IT_number 123
_space_group_name_Hall '-P 4 2'
loop_
_atom_site_label
_atom_site_fract_x
_atom_site_fract_y
_atom_site_fract_z
Al1 0.000 0.000 0.000
Cu1 0.000 0.500 0.500
Hg1 0.500 0.500 0.000
Os1 0.500 0.500 0.500
# formation enthalpy at 0 K = 1.35 eV per atom

=====

Q: Look up the formation enthalpy at 0 K of the third one.
A: 1.35 eV per atom

=====

Q: Which of these has the lowest formation enthalpy at 0 K?
A: BaIn4